No. 1
Here is an optimized crystal structure of Y2Zn3 from Alexandria via LeMat-Bulk. Energies are from PBEsol.

Calculated values
total DFT energy (no corrections): -4.009 eV/atom
ΔE_f: -0.331 eV per atom
density: 6.114 Mg/m³
total moment: 0.00 μB per atom

```
data_Y2Zn3
_chemical_formula_sum 'Y16 Zn24'
_cell_length_a 9.475
_cell_length_b 15.035
_cell_length_c 5.705
_cell_angle_alpha 90.00
_cell_angle_beta 90.00
_cell_angle_gamma 90.00
_space_group_name_H-M_alt 'F d d 2'
_space_group_IT_number 43
_space_group_name_Hall 'F 2 -2d'
loop_
_atom_site_label
_atom_site_fract_x
_atom_site_fract_y
_atom_site_fract_z
Y1 0.079 0.199 0.000
Zn1 0.000 0.000 0.206
Zn2 0.076 0.123 0.503
```

=====

No. 2
Here is an optimized crystal structure of Hf2ScNbCd from Alexandria via LeMat-Bulk. Energies are from PBEsol.

Calculated values
total DFT energy (no corrections): -6.608 eV/atom
ΔE_f: 1.318 eV per atom
density: 8.819 Mg/m³
total moment: 0.00 μB per atom

```
data_Hf2ScNbCd
_chemical_formula_sum 'Hf2 Sc1 Nb1 Cd1'
_cell_length_a 4.960
_cell_length_b 4.960
_cell_length_c 4.649
_cell_angle_alpha 90.00
_cell_angle_beta 90.00
_cell_angle_gamma 90.00
_space_group_name_H-M_alt 'P 4/m m m'
_space_group_IT_number 123
_space_group_name_Hall '-P 4 2'
loop_
_atom_site_label
_atom_site_fract_x
_atom_site_fract_y
_atom_site_fract_z
Hf1 0.000 0.500 0.000
Sc1 0.000 0.000 0.000
Nb1 0.000 0.000 0.500
Cd1 0.500 0.500 0.500
```

=====

No. 3
Here is an optimized crystal structure of HfZrBi2 from Alexandria via LeMat-Bulk. Energies are from PBEsol.

Calculated values
energy above the lowest structure with this stoichiometry: 0.0 kJ per mole of atoms
total DFT energy (no corrections): -7.224 eV/atom
ΔE_f: -0.183 eV per atom
density: 12.281 Mg/m³
total moment: 0.00 μB per atom

```
data_HfZrBi2
_chemical_formula_sum 'Hf4 Zr4 Bi8'
_cell_length_a 7.191
_cell_length_b 7.191
_cell_length_c 7.191
_cell_angle_alpha 90.00
_cell_angle_beta 90.00
_cell_angle_gamma 90.00
_space_group_name_H-M_alt 'F m -3 m'
_space_group_IT_number 225
_space_group_name_Hall '-F 4 2 3'
loop_
_atom_site_label
_atom_site_fract_x
_atom_site_fract_y
_atom_site_fract_z
Hf1 0.000 0.000 0.000
Zr1 0.000 0.000 0.500
Bi1 0.250 0.250 0.250
```

=====

No. 4
Here is an optimized crystal structure of GaSi2C from Alexandria via LeMat-Bulk. Energies are from PBEsol.

Calculated values
energy above the lowest structure with this stoichiometry: 102.9 kJ per mole of atoms
total DFT energy (no corrections): -4.770 eV/atom
density: 4.407 Mg/m³
uncorrected formation energy: 1.35 eV/atom
total moment: 0.00 μB per atom

```
data_GaSi2C
_chemical_formula_sum 'Ga4 Si8 C4'
_cell_length_a 5.923
_cell_length_b 5.923
_cell_length_c 5.923
_cell_angle_alpha 90.00
_cell_angle_beta 90.00
_cell_angle_gamma 90.00
_space_group_name_H-M_alt 'F m -3 m'
_space_group_IT_number 225
_space_group_name_Hall '-F 4 2 3'
loop_
_atom_site_label
_atom_site_fract_x
_atom_site_fract_y
_atom_site_fract_z
Ga1 0.000 0.000 0.000
Si1 0.250 0.250 0.250
C1 0.000 0.000 0.500
```